VASP calculation (GGA+U) on crystalline Li4MnFe3B4O12 at its relaxed geometry.

a b c (Å): 5.2562 5.9967 8.9537
angles (deg): 102.33 91.06 114.05
Space group P1 (No. 1)
Symmetry-distinct sites (fractional):
Li 0.0000 0.0000 0.0000 (multiplicity 1)
Li 0.1784 0.6450 0.9336 (multiplicity 1)
Li 0.4927 0.9942 0.4979 (multiplicity 1)
Li 0.6751 0.6452 0.4333 (multiplicity 1)
Mn 0.6255 0.5538 0.7611 (multiplicity 1)
Fe 0.0358 0.0802 0.6723 (multiplicity 1)
Fe 0.1299 0.5586 0.2566 (multiplicity 1)
Fe 0.5467 0.0865 0.1769 (multiplicity 1)
B 0.0322 0.0631 0.3315 (multiplicity 1)
B 0.1375 0.5816 0.5983 (multiplicity 1)
B 0.5297 0.0593 0.8328 (multiplicity 1)
B 0.6434 0.5809 0.1024 (multiplicity 1)
O 0.2004 0.4904 0.7196 (multiplicity 1)
O 0.2633 0.0046 0.3274 (multiplicity 1)
O 0.3060 0.6169 0.4812 (multiplicity 1)
O 0.3673 0.0232 0.9516 (multiplicity 1)
O 0.4099 0.6359 0.1044 (multiplicity 1)
O 0.4558 0.1409 0.7098 (multiplicity 1)
O 0.7135 0.4961 0.2246 (multiplicity 1)
O 0.7655 0.0060 0.8291 (multiplicity 1)
O 0.8116 0.6200 0.9855 (multiplicity 1)
O 0.8668 0.0268 0.4497 (multiplicity 1)
O 0.9111 0.6464 0.6019 (multiplicity 1)
O 0.9609 0.1478 0.2094 (multiplicity 1)

Calculated values
Crystal system   triclinic
Total magnetization   17.0 μB/f.u.
Energy relative to the lowest polymorph listed for this composition   3 meV per atom